This record from the Alexandria database describes a geometry-optimized TbNpAu2 structure. The functional is PBE.

Computed properties:
Formation energy: -0.403 eV/atom

Lattice parameters (Å, degrees): 3.5508 3.5508 7.4703 90.00 90.00 90.00
Closest atoms and distances in Å follow each position.
Sites, in units of the cell vectors:
Np  0.5000  0.5000  0.5000  8 Au 3.18, 4 Np 3.55
Tb  0.5000  0.5000  0.0000  8 Au 3.08
Au  0.0000  0.0000  0.7612  4 Tb 3.08, 4 Np 3.18
Au  0.0000  0.0000  0.2388  4 Tb 3.08, 4 Np 3.18

This record from the Alexandria database describes a geometry-optimized NpTeAu structure. The functional is PBE.

Computed properties:
Formation energy without anion corrections: -271 meV/atom
Excess energy over the best structure of this formula in the dataset: 71 meV/atom

Lattice parameters (Å, degrees): 5.0277 5.0277 5.0277 60.00 60.00 60.00
Closest atoms and distances in Å follow each position.
Sites, in units of the cell vectors:
Np  0.2500  0.2500  0.2500  4 Te 3.08, 4 Au 3.08
Te  0.5000  0.5000  0.5000  4 Np 3.08
Au  0.0000  0.0000  0.0000  4 Np 3.08

This record from the Alexandria database describes a geometry-optimized NpTe4Au structure. The functional is PBE.

Computed properties:
Formation energy without anion corrections: -167 meV/atom

Lattice parameters (Å, degrees): 5.7750 7.7045 9.6947 90.00 90.00 112.02
Closest atoms and distances in Å follow each position.
Sites, in units of the cell vectors:
Np  0.0854  0.6697  0.7500  7 Te 2.92-3.13
Np  0.9146  0.3303  0.2500  7 Te 2.92-3.13
Te  0.5549  0.6087  0.7500  1 Au 2.69, 2 Np 2.92
Te  0.4451  0.3913  0.2500  1 Au 2.69, 2 Np 2.92
Te  0.2933  0.0851  0.7500  1 Np 2.97, 2 Au 2.97-2.98
Te  0.7067  0.9149  0.2500  1 Np 2.97, 2 Au 2.97-2.98
Te  0.0957  0.6920  0.0672  1 Au 2.91, 1 Te 3.04, 2 Np 3.08-3.13
Te  0.9043  0.3080  0.5672  1 Au 2.91, 1 Te 3.04, 2 Np 3.08-3.13
Te  0.0957  0.6920  0.4328  1 Au 2.91, 1 Te 3.04, 2 Np 3.08-3.13
Te  0.9043  0.3080  0.9328  1 Au 2.91, 1 Te 3.04, 2 Np 3.08-3.13
Au  0.7433  0.9850  0.7500  5 Te 2.69-2.98
Au  0.2567  0.0150  0.2500  5 Te 2.69-2.98

This record from the Alexandria database describes a geometry-optimized NpTeAu structure. The functional is PBE.

Computed properties:
Formation energy without anion corrections: -342 meV/atom
Excess energy over the best structure of this formula in the dataset: 0 meV/atom

Lattice parameters (Å, degrees): 3.8852 3.8852 5.6103 110.26 110.26 90.00
Closest atoms and distances in Å follow each position.
Sites, in units of the cell vectors:
Np  0.6132  0.6132  0.2264  5 Au 3.16-3.34, 5 Te 3.21-3.24
Te  0.2824  0.2824  0.5648  5 Np 3.21-3.24, 5 Au 3.21-3.22
Au  0.9544  0.9544  0.9088  5 Np 3.16-3.34, 5 Te 3.21-3.22

This record from the Alexandria database describes a geometry-optimized Np2Te4Au structure. The functional is PBE.

Computed properties:
Formation energy without anion corrections: -379 meV/atom

Lattice parameters (Å, degrees): 5.0347 6.3120 6.3120 103.72 90.00 90.00
Closest atoms and distances in Å follow each position.
Sites, in units of the cell vectors:
Np  0.0000  0.7416  0.2584  8 Te 3.14-3.18, 2 Au 3.48
Np  0.0000  0.2584  0.7416  8 Te 3.14-3.18, 2 Au 3.48
Te  0.0000  0.7603  0.7603  4 Np 3.14-3.17, 2 Au 3.23
Te  0.0000  0.2397  0.2397  4 Np 3.14-3.17, 2 Au 3.23
Te  0.5000  0.0000  0.5000  2 Au 3.16, 4 Np 3.18
Te  0.5000  0.5000  0.0000  2 Au 3.16, 4 Np 3.18
Au  0.5000  0.5000  0.5000  8 Te 3.16-3.23, 4 Np 3.48

This record from the Alexandria database describes a geometry-optimized NpTeAu4 structure. The functional is PBE.

Computed properties:
Formation energy without anion corrections: -118 meV/atom

Lattice parameters (Å, degrees): 5.6873 5.6873 5.6873 60.00 60.00 60.00
Closest atoms and distances in Å follow each position.
Sites, in units of the cell vectors:
Np  0.0000  0.0000  0.0000  12 Au 3.33, 4 Te 3.48
Te  0.2500  0.2500  0.2500  12 Au 3.34, 4 Np 3.48
Au  0.6253  0.6253  0.1241  6 Au 2.84-2.85
Au  0.6253  0.1241  0.6253  6 Au 2.84-2.85
Au  0.6253  0.6253  0.6253  6 Au 2.84-2.85
Au  0.1241  0.6253  0.6253  6 Au 2.84-2.85

This record from the Alexandria database describes a geometry-optimized NpTe3Au2 structure. The functional is PBE.

Computed properties:
Formation energy without anion corrections: -307 meV/atom

Lattice parameters (Å, degrees): 4.4015 7.2170 12.8323 116.92 90.00 90.00
Closest atoms and distances in Å follow each position.
Sites, in units of the cell vectors:
Np  0.2500  0.8460  0.3141  5 Te 3.03-3.18, 3 Au 3.19-3.36
Np  0.7500  0.1540  0.6859  5 Te 3.03-3.18, 3 Au 3.19-3.36
Te  0.7500  0.0000  0.1997  2 Au 2.71-2.85
Te  0.2500  0.0000  0.8003  2 Au 2.71-2.85
Te  0.7500  0.6091  0.8616  3 Au 2.75-3.03, 1 Np 3.03
Te  0.2500  0.3909  0.1384  3 Au 2.75-3.03, 1 Np 3.03
Te  0.2500  0.3379  0.5790  2 Au 2.74
Te  0.7500  0.6621  0.4210  2 Au 2.74
Au  0.2500  0.4426  0.9169  4 Te 2.75-3.03, 2 Au 2.91
Au  0.7500  0.5574  0.0831  4 Te 2.75-3.03, 2 Au 2.91
Au  0.7500  0.1980  0.4366  3 Te 2.71-2.74
Au  0.2500  0.8020  0.5634  3 Te 2.71-2.74

This record from the Alexandria database describes a geometry-optimized NpTeAu structure. The functional is PBE.

Computed properties:
Formation energy without anion corrections: -254 meV/atom
Excess energy over the best structure of this formula in the dataset: 87 meV/atom

Lattice parameters (Å, degrees): 4.2449 4.6884 4.6884 120.00 90.00 90.00
Closest atoms and distances in Å follow each position.
Sites, in units of the cell vectors:
Np  0.0479  0.0000  0.0000  3 Au 2.95, 3 Te 3.24
Te  0.6288  0.3333  0.6667  3 Au 3.00, 3 Np 3.24
Au  0.3233  0.6667  0.3333  3 Np 2.95, 3 Te 3.00

This record from the Alexandria database describes a geometry-optimized Np3Tl3Te8Au structure. The functional is PBE.

Computed properties:
Formation energy without anion corrections: -427 meV/atom

Lattice parameters (Å, degrees): 8.5237 8.8862 9.7812 118.30 90.00 118.66
Closest atoms and distances in Å follow each position.
Sites, in units of the cell vectors:
Np  0.5000  0.0000  0.5000  6 Te 3.10-3.11
Np  0.5000  0.5000  0.5000  6 Te 3.04-3.13
Np  0.0000  0.5000  0.5000  6 Te 3.04-3.13
Tl  0.0000  0.0000  0.0000  6 Te 3.46-3.50
Tl  0.0000  0.5000  0.0000  6 Te 3.41-3.59
Tl  0.5000  0.5000  0.0000  6 Te 3.41-3.59
Te  0.2633  0.5267  0.2831  3 Np 3.09-3.11, 2 Tl 3.41
Te  0.7367  0.4733  0.7169  3 Np 3.09-3.11, 2 Tl 3.41
Te  0.7007  0.4014  0.2453  2 Np 3.04
Te  0.2993  0.5986  0.7547  2 Np 3.04
Te  0.7901  0.0253  0.3066  1 Au 2.76
Te  0.2099  0.9747  0.6934  1 Au 2.76
Te  0.2351  0.0253  0.3066  1 Au 2.76
Te  0.7649  0.9747  0.6934  1 Au 2.76
Au  0.0000  0.0000  0.5000  4 Te 2.76

This record from the Alexandria database describes a geometry-optimized NpTl2Te4Au2 structure. The functional is PBE.

Computed properties:
Formation energy without anion corrections: -353 meV/atom

Lattice parameters (Å, degrees): 4.3825 8.5958 8.1660 108.71 105.57 90.00
Closest atoms and distances in Å follow each position.
Sites, in units of the cell vectors:
Np  0.0000  0.0000  0.0000  6 Te 3.07-3.09
Tl  0.1326  0.5865  0.2653  7 Te 3.42-3.74
Tl  0.8674  0.4135  0.7347  7 Te 3.42-3.74
Te  0.2001  0.2107  0.4003  3 Au 2.84-2.97, 1 Np 3.07
Te  0.7999  0.7893  0.5997  3 Au 2.84-2.97, 1 Np 3.07
Te  0.5100  0.7532  0.0201  1 Au 2.77, 2 Np 3.09
Te  0.4900  0.2468  0.9799  1 Au 2.77, 2 Np 3.09
Au  0.6794  0.9915  0.3588  4 Te 2.77-2.97, 2 Au 3.09
Au  0.3206  0.0085  0.6412  4 Te 2.77-2.97, 2 Au 3.09

This record from the Alexandria database describes a geometry-optimized NpTlTe2Au structure. The functional is PBE.

Computed properties:
Formation energy without anion corrections: -273 meV/atom

Lattice parameters (Å, degrees): 5.9798 8.9792 6.1357 109.99 90.00 90.00
Closest atoms and distances in Å follow each position.
Sites, in units of the cell vectors:
Np  0.5000  0.0000  0.2500  2 Np 3.07, 4 Te 3.11, 4 Au 3.36
Np  0.5000  0.0000  0.7500  2 Np 3.07, 4 Te 3.11, 4 Au 3.36
Tl  0.2384  0.5000  0.7500  8 Te 3.52-3.64
Tl  0.7616  0.5000  0.2500  8 Te 3.52-3.64
Te  0.7493  0.7327  0.8663  1 Au 2.71
Te  0.7493  0.2673  0.6337  1 Au 2.71
Te  0.2507  0.7327  0.3663  1 Au 2.71
Te  0.2507  0.2673  0.1337  1 Au 2.71
Au  0.0000  0.0000  0.0000  2 Te 2.71
Au  0.0000  0.0000  0.5000  2 Te 2.71

This record from the Alexandria database describes a geometry-optimized Np3Tl4Te8Au structure. The functional is PBE.

Computed properties:
Formation energy without anion corrections: -428 meV/atom

Lattice parameters (Å, degrees): 8.8201 9.6211 8.8244 117.25 119.98 90.00
Closest atoms and distances in Å follow each position.
Sites, in units of the cell vectors:
Np  0.5000  0.5000  0.0000  6 Te 3.08-3.10
Np  0.5000  0.5000  0.5000  6 Te 3.08-3.10
Np  0.0000  0.5000  0.5000  6 Te 3.08-3.10
Tl  0.5000  0.0000  0.0000  6 Te 3.48-3.50
Tl  0.5000  0.0000  0.5000  6 Te 3.44-3.48
Tl  0.0000  0.0000  0.0000  6 Te 3.45-3.47
Tl  0.0000  0.0000  0.5000  6 Te 3.44-3.48
Te  0.2342  0.7092  0.9746  1 Au 3.04, 2 Np 3.08
Te  0.2368  0.7112  0.4736  1 Au 3.07, 2 Np 3.08
Te  0.2613  0.2837  0.5226  3 Np 3.10, 3 Tl 3.44-3.45
Te  0.7404  0.7092  0.9746  1 Au 3.04, 2 Np 3.08
Te  0.2596  0.2908  0.0254  1 Au 3.04, 2 Np 3.08
Te  0.7387  0.7163  0.4774  3 Np 3.10, 3 Tl 3.44-3.45
Te  0.7632  0.2888  0.5264  1 Au 3.07, 2 Np 3.08
Te  0.7658  0.2908  0.0254  1 Au 3.04, 2 Np 3.08
Au  0.0000  0.5000  0.0000  6 Te 3.04-3.07

This record from the Alexandria database describes a geometry-optimized Np2Tl3Te6Au structure. The functional is PBE.

Computed properties:
Formation energy without anion corrections: -390 meV/atom

Lattice parameters (Å, degrees): 7.7443 7.7443 8.5246 97.73 97.73 122.95
Closest atoms and distances in Å follow each position.
Sites, in units of the cell vectors:
Np  0.3340  0.6660  0.0000  6 Te 3.01-3.09
Np  0.6660  0.3340  0.0000  6 Te 3.01-3.09
Tl  0.1614  0.8386  0.5000  6 Te 3.35-3.51
Tl  0.8386  0.1614  0.5000  6 Te 3.35-3.51
Tl  0.5000  0.5000  0.5000  6 Te 3.54-3.63
Te  0.9304  0.5714  0.7771  2 Np 3.01-3.07, 1 Au 3.32, 1 Tl 3.35
Te  0.7530  0.7530  0.1921  1 Au 2.78, 2 Np 3.09
Te  0.0696  0.4286  0.2229  2 Np 3.01-3.07, 1 Au 3.32, 1 Tl 3.35
Te  0.5714  0.9304  0.7771  2 Np 3.01-3.07, 1 Au 3.32, 1 Tl 3.35
Te  0.2470  0.2470  0.8079  1 Au 2.78, 2 Np 3.09
Te  0.4286  0.0696  0.2229  2 Np 3.01-3.07, 1 Au 3.32, 1 Tl 3.35
Au  0.0000  0.0000  0.0000  2 Te 2.78

For each record above, in turn, the calculated magnetization values are 4.50; 4.00; 5.37; 4.00; 7.53; 4.63; 6.62; 4.00; 11.05; 3.09; 9.79; 10.06; 5.96 Bohr magnetons per cell.
For each record above, in turn, the calculated D(E_F) values are 11.0; 12.7; 12.9; 7.7; 19.4; 12.9; 11.5; 6.6; 27.9; 11.2; 8.0; 29.4; 18.8 states/eV/f.u..
For each record above, in turn, the calculated V values are 23.55; 29.95; 33.32; 24.61; 27.84; 21.68; 30.29; 26.94; 36.47; 31.05; 30.96; 34.41; 34.31 Å³ per atom.